Density functional theory data (GGA-PBE) for a relaxed Th2PSe3 crystal.

Unit cell a=4.0736 b=9.6998 c=9.4460 alpha=123.35 beta=90.00 gamma=102.12
Atoms (fractional coordinates):
Th: 0.4949 0.9897 0.8075
Th: 0.5051 0.0103 0.1925
Th: 0.7468 0.4935 0.2358
Th: 0.2532 0.5065 0.7642
P: 0.8994 0.7988 0.9065
P: 0.1006 0.2012 0.0935
Se: 0.3155 0.6310 0.5202
Se: 0.9464 0.8928 0.5347
Se: 0.6617 0.3234 0.8446
Se: 0.3383 0.6766 0.1554
Se: 0.0536 0.1072 0.4653
Se: 0.6845 0.3690 0.4798

## Properties
V (Å³ per atom): 25.15
Crystal system: monoclinic
VASP energy (eV per formula unit): -38.906
Uncorrected formation energy (meV/atom): -1367